VASP calculation (PBE) on ZrAu after structural relaxation.

abc: 5.5047 5.5047 5.5047
angles: 90.00 90.00 90.00
Closest atoms and distances in Å follow each position.
Atoms (fractional coordinates):
Zr1 0.0871 0.0871 0.0871  7 Au 2.89-3.04
Zr2 0.4129 0.9129 0.5871  7 Au 2.89-3.04
Zr3 0.5871 0.4129 0.9129  7 Au 2.89-3.04
Zr4 0.9129 0.5871 0.4129  7 Au 2.89-3.04
Au1 0.0940 0.5940 0.9060  7 Zr 2.89-3.04
Au2 0.4060 0.4060 0.4060  7 Zr 2.89-3.04
Au3 0.5940 0.9060 0.0940  7 Zr 2.89-3.04
Au4 0.9060 0.0940 0.5940  7 Zr 2.89-3.04

VASP calculation (PBE) on ZrAu2 after structural relaxation.

abc: 5.1164 5.1164 5.1164
angles: 138.75 138.75 59.75
Closest atoms and distances in Å follow each position.
Atoms (fractional coordinates):
Zr1 0.0000 0.0000 0.0000  10 Au 2.95
Au1 0.3320 0.3320 0.0000  5 Au 2.93-2.98, 5 Zr 2.95
Au2 0.6680 0.6680 0.0000  5 Au 2.93-2.98, 5 Zr 2.95

VASP calculation (PBE) on Zr2Au after structural relaxation.

abc: 11.2122 11.2122 11.2122
angles: 164.33 158.93 26.37
Closest atoms and distances in Å follow each position.
Atoms (fractional coordinates):
Zr1 0.3046 0.0546 0.2500  4 Au 2.94, 5 Zr 2.97-3.15
Zr2 0.4406 0.1906 0.2500  5 Zr 2.97-3.06, 4 Au 2.97
Zr3 0.5594 0.8094 0.7500  5 Zr 2.97-3.06, 4 Au 2.97
Zr4 0.6954 0.9454 0.7500  4 Au 2.94, 5 Zr 2.97-3.15
Au1 0.1288 0.3788 0.7500  8 Zr 2.94-2.97, 2 Au 3.06
Au2 0.8712 0.6212 0.2500  8 Zr 2.94-2.97, 2 Au 3.06

Number 1: E_tot -6.273 eV per atom, formation enthalpy at 0 K -361 meV/atom. Number 2: E_tot -5.607 eV per atom, formation enthalpy at 0 K -573 meV/atom. Number 3: E_tot -6.809 eV per atom, formation enthalpy at 0 K -17 meV/atom.